[1]
CaHg2Sb: PBEsol geometry, meta-GGA SCAN.

- Energy relative to the elements, uncorrected: -0.482 eV/atom
- Energy: -46.30 eV per atom

Cell lengths 4.456, 4.456, 5.382 Å; angles 90.00, 90.00, 90.37 degrees
Fractional positions:
Hg1 0.745 0.255 0.000
Hg2 0.255 0.745 0.000
Ca1 0.000 0.000 0.500
Sb1 0.500 0.500 0.500

---

[2]
LiFe3Mo: PBEsol geometry, meta-GGA SCAN.

- Formation energy from the elements: 1431 meV per atom
- Energy: -16.90 eV per atom

Cell lengths 4.419, 4.419, 4.419 Å; angles 90.00, 90.00, 90.00 degrees
Fractional positions:
Fe1 0.000 0.000 0.500
Mo1 0.000 0.000 0.000
Li1 0.500 0.500 0.500
Fe2 0.500 0.000 0.000
Fe3 0.000 0.500 0.000

---

[3]
RbCd2TcI: PBEsol geometry, meta-GGA SCAN.

- Energy relative to the elements, uncorrected: 0.433 eV/atom
- Energy: -30.24 eV per atom

Cell lengths 5.260, 5.260, 6.739 Å; angles 90.00, 90.00, 90.00 degrees
Fractional positions:
Rb1 0.000 0.000 0.500
Cd1 0.500 0.000 0.000
I1 0.500 0.500 0.500
Tc1 0.000 0.000 0.000
Cd2 0.000 0.500 0.000

---

[4]
SrReTcAs2: PBEsol geometry, meta-GGA SCAN.

- Formation energy from the elements: 1059 meV per atom
- Energy: -32.70 eV per atom

Cell lengths 4.717, 4.717, 5.776 Å; angles 90.00, 90.00, 90.00 degrees
Fractional positions:
Tc1 0.500 0.500 0.500
Re1 0.000 0.000 0.000
As1 0.000 0.500 0.000
As2 0.500 0.000 0.000
Sr1 0.000 0.000 0.500